A geometry-optimized Tb4HgRu2 structure. Source: the Alexandria database, functional GGA-PBE.

Structure (POSCAR):
```
Tb4HgRu2
1.0
5.0769 -0.0029 0.0000
-2.5400 4.3959 0.0000
0.0000 0.0000 14.9537
Hg Tb Ru
2 8 4
Cartesian
1.2626 2.1999 3.7384 Hg
1.2744 2.1931 11.2153 Hg
1.2685 2.1965 7.4768 Tb
3.8118 0.7277 11.2153 Tb
3.8048 0.7317 1.8072 Tb
-1.2679 3.6612 13.1465 Tb
-1.2679 3.6612 9.2840 Tb
1.2685 2.1965 0.0000 Tb
3.8048 0.7317 5.6697 Tb
-1.2749 3.6653 3.7384 Tb
3.8093 0.7291 8.3846 Ru
3.8093 0.7291 14.0459 Ru
-1.2724 3.6638 0.9078 Ru
-1.2724 3.6638 6.5691 Ru
```

## Properties
ΔE to the lowest computed polymorph	0.023	eV per atom
density	10.34	g/cm3
formation energy from the elements	-0.286	eV/atom